Here is BaCoCl2O after structural relaxation from the Alexandria database. Energies are from PBE+U.

a b c (Å): 5.737 5.737 3.583
angles (deg): 90.00 90.00 90.00
Fractional coordinates of all 5 atoms:
Ba (0.000, 0.000, 0.000)
Co (0.500, 0.500, 0.000)
Cl (0.000, 0.500, 0.500)
Cl (0.500, 0.000, 0.500)
O (0.500, 0.500, 0.500)

Values from the calculation:
VASP energy = -4.292 eV/atom